DFT (PBE-GGA) results for a relaxed Ba3NbP4 crystal.

Calculated values
Calculated density ... 4.4 Mg/m³
Formation energy ... -90.1 kJ per mole of atoms
Total magnetization ... 0.00 μB per cell
Volume ... 29.67 A^3/atom
Crystal system ... orthorhombic

The structure in CIF format:
```
data_Ba3NbP4
_cell_length_a 8.9434
_cell_length_b 10.6805
_cell_length_c 9.9394
_cell_angle_alpha 90.00
_cell_angle_beta 90.00
_cell_angle_gamma 90.00
_space_group_name_H-M_alt 'P n m a'
_space_group_IT_number 62
loop_
_space_group_symop_operation_xyz
'x,y,z'
'-x,-y,-z'
'-x+1/2,-y,z+1/2'
'x+1/2,y,-z+1/2'
'x+1/2,-y+1/2,-z+1/2'
'-x+1/2,y+1/2,z+1/2'
'-x,y+1/2,-z'
'x,-y+1/2,z'
loop_
_atom_site_label
_atom_site_type_symbol
_atom_site_fract_x
_atom_site_fract_y
_atom_site_fract_z
Ba1 Ba 0.0486 0.0455 0.1912
Ba2 Ba 0.1541 0.7500 0.4213
Nb1 Nb 0.2424 0.2500 0.4754
P1 P 0.0195 0.7500 0.0848
P2 P 0.1246 0.0448 0.5129
P3 P 0.2040 0.7500 0.7438
```